[1]
Here is an optimized crystal structure of SmZn5 from Alexandria. Energies are from PBE.

Results
- calculated formation energy (kJ/mol of atoms) = -28.22
- space group = P6/mmm

Cell and atoms, written as CIF:
```
data_SmZn5
_chemical_formula_sum 'Sm1 Zn5'
_space_group_name_H-M_alt 'P 1'
_space_group_IT_number 1
_cell_length_a 5.369
_cell_length_b 5.369
_cell_length_c 4.218
_cell_angle_alpha 90.00
_cell_angle_beta 90.00
_cell_angle_gamma 120.00
loop_
_space_group_symop_operation_xyz
'x,y,z'
loop_
_atom_site_label
_atom_site_fract_x
_atom_site_fract_y
_atom_site_fract_z
_atom_site_occupancy
Sm1 0.000 0.000 0.000 1
Zn1 0.500 0.000 0.500 1
Zn2 0.000 0.500 0.500 1
Zn3 0.667 0.333 0.000 1
Zn4 0.500 0.500 0.500 1
Zn5 0.333 0.667 0.000 1
```

=====

[2]
Here is an optimized crystal structure of Np2InCl8 from Alexandria. Energies are from PBE.

Results
- space group = C2/m
- raw formation energy (eV per atom) = -1.518

Cell and atoms, written as CIF:
```
data_Np2InCl8
_chemical_formula_sum 'Np2 In1 Cl8'
_space_group_name_H-M_alt 'P 1'
_space_group_IT_number 1
_cell_length_a 5.453
_cell_length_b 7.644
_cell_length_c 7.644
_cell_angle_alpha 112.10
_cell_angle_beta 95.74
_cell_angle_gamma 95.74
loop_
_space_group_symop_operation_xyz
'x,y,z'
loop_
_atom_site_label
_atom_site_fract_x
_atom_site_fract_y
_atom_site_fract_z
_atom_site_occupancy
Np1 0.000 0.320 0.680 1
Np2 0.000 0.680 0.320 1
In1 0.500 0.000 0.000 1
Cl1 0.924 0.946 0.671 1
Cl2 0.924 0.671 0.946 1
Cl3 0.277 0.599 0.599 1
Cl4 0.500 0.739 0.261 1
Cl5 0.500 0.261 0.739 1
Cl6 0.723 0.401 0.401 1
Cl7 0.076 0.329 0.054 1
Cl8 0.076 0.054 0.329 1
```

=====

[3]
Here is an optimized crystal structure of Y2PuO from Alexandria. Energies are from PBE.

Results
- space group = R-3m
- raw formation energy (eV per atom) = -1.113

Cell and atoms, written as CIF:
```
data_Y2PuO
_chemical_formula_sum 'Y2 Pu1 O1'
_space_group_name_H-M_alt 'P 1'
_space_group_IT_number 1
_cell_length_a 3.441
_cell_length_b 3.441
_cell_length_c 9.502
_cell_angle_alpha 79.57
_cell_angle_beta 79.57
_cell_angle_gamma 60.00
loop_
_space_group_symop_operation_xyz
'x,y,z'
loop_
_atom_site_label
_atom_site_fract_x
_atom_site_fract_y
_atom_site_fract_z
_atom_site_occupancy
Y1 0.118 0.118 0.645 1
Y2 0.882 0.882 0.355 1
O1 0.500 0.500 0.500 1
Pu1 0.000 0.000 0.000 1
```

=====

Fermi-level density of states values, unit states/eV/cell, following the record order: 2.2; 13.2; 8.7.
Volume values, unit Å³/cell, following the record order: 105; 290; 95.
Final energy values, unit Ry/atom, following the record order: -0.157; -0.402; -0.674.